Material: NaSm2VO6
Method: DFT, PBE with a Hubbard U
State: optimized geometry

Summary:
mass density: 6.21 g/cm³
crystal system: monoclinic
DFT total energy: -149.5 eV per cell
magnetic moment: 0.00 μB per cell

```
data_NaSm2VO6
_space_group_name_H-M_alt 'P 1 21/c 1'
_space_group_IT_number 14
_cell_length_a 5.4474
_cell_length_b 5.8675
_cell_length_c 9.4847
_cell_angle_alpha 90.00
_cell_angle_beta 123.92
_cell_angle_gamma 90.00
loop_
_space_group_symop_operation_xyz
'x,y,z'
'-x,-y,-z'
'-x,y+1/2,-z+1/2'
'x,-y+1/2,z+1/2'
loop_
_atom_site_label
_atom_site_fract_x
_atom_site_fract_y
_atom_site_fract_z
_atom_site_occupancy
Na1 0.0000 0.0000 0.0000 1
Sm1 0.2232 0.0718 0.7449 1
V1 0.5000 0.0000 0.5000 1
O1 0.1631 0.1688 0.4488 1
O2 0.2662 0.7237 0.4263 1
O3 0.3983 0.0542 0.2753 1
```